VS3O | PBE with a Hubbard U | optimized geometry

Lattice parameters (Å, degrees): 4.239 4.239 4.239 90.00 90.00 90.00
Positions (direct):
V: 0.000 0.000 0.000
S: 0.000 0.500 0.500
S: 0.500 0.000 0.500
S: 0.500 0.500 0.000
O: 0.500 0.500 0.500

Results
Crystal system: cubic
Energy relative to the lowest polymorph listed for this composition (eV per formula unit): 0.00
Mass density (g/cm³): 3.56
V (Å³/cell): 76